# 1
# MgBe2Br2 PBE-GGA optimized geometry
data_MgBe2Br2
_symmetry_space_group_name_H-M 'I 4/m m m'
_symmetry_Int_Tables_number 139
_symmetry_space_group_name_Hall '-I 4 2'
_cell_length_a 4.617
_cell_length_b 4.617
_cell_length_c 10.543
_cell_angle_alpha 90.00
_cell_angle_beta 90.00
_cell_angle_gamma 90.00
loop_
_atom_site_label
_atom_site_fract_x
_atom_site_fract_y
_atom_site_fract_z
Mg1 0.000 0.000 0.000
Be1 0.000 0.500 0.250
Br1 0.000 0.000 0.329
# Magnetization: 0.000 μB per cell
# ΔE_f (raw): 0.583 eV/atom
# Calculated density: 2987 kg/m3
# Uncorrected energy: -1.90 eV per atom

# 2
# SrAsPtSe2 PBE-GGA optimized geometry
data_SrAsPtSe2
_symmetry_space_group_name_H-M 'P 4/m m m'
_symmetry_Int_Tables_number 123
_symmetry_space_group_name_Hall '-P 4 2'
_cell_length_a 5.370
_cell_length_b 5.370
_cell_length_c 4.609
_cell_angle_alpha 90.00
_cell_angle_beta 90.00
_cell_angle_gamma 90.00
loop_
_atom_site_label
_atom_site_fract_x
_atom_site_fract_y
_atom_site_fract_z
Sr1 0.000 0.000 0.000
As1 0.500 0.500 0.000
Pt1 0.500 0.500 0.500
Se1 0.000 0.500 0.500
# Magnetization: 0.000 μB per cell
# ΔE_f (raw): -0.524 eV/atom
# E above lowest polymorph: 0.0 meV per atom
# Calculated density: 6443 kg/m3
# Uncorrected energy: -4.39 eV per atom

# 3
# ZrNi PBE-GGA optimized geometry
data_ZrNi
_symmetry_space_group_name_H-M 'F -4 3 m'
_symmetry_Int_Tables_number 216
_symmetry_space_group_name_Hall 'F -4 2 3'
_cell_length_a 5.703
_cell_length_b 5.703
_cell_length_c 5.703
_cell_angle_alpha 90.00
_cell_angle_beta 90.00
_cell_angle_gamma 90.00
loop_
_atom_site_label
_atom_site_fract_x
_atom_site_fract_y
_atom_site_fract_z
Zr1 0.000 0.000 0.000
Ni1 0.250 0.250 0.250
# Magnetization: 0.000 μB per cell
# Calculated density: 5368 kg/m3
# Calculated formation energy: 0.577 eV/atom
# Uncorrected energy: -6.59 eV per atom